Entry 1:
A crystal of Sr2LaCd relaxed with PBEsol, computed with SCAN.

## Properties
symmetry: No. 99
magnetic moment: 0.8 Bohr magnetons per cell
raw total energy: -118.75 eV per cell

Unit cell a=3.914 b=3.914 c=10.082 alpha=90.00 beta=90.00 gamma=90.00
Site moments in Bohr magnetons follow the coordinates.
Sites, in units of the cell vectors:
Sr 0.500 0.500 0.018  -0.04
Sr 0.000 0.000 0.689  0.01
Cd 0.500 0.500 0.485  0.01
La 0.000 0.000 0.308  -0.26


Entry 2:
A crystal of SrLaCd relaxed with PBEsol, computed with SCAN.

## Properties
symmetry: No. 107
magnetic moment: 0.2 Bohr magnetons per cell
raw total energy: -96.50 eV per cell

Unit cell a=3.851 b=3.851 c=7.508 alpha=104.86 beta=104.86 gamma=90.00
Site moments in Bohr magnetons follow the coordinates.
Sites, in units of the cell vectors:
Sr 0.357 0.357 0.714  0.00
Cd 0.006 0.006 0.012  0.00
La 0.637 0.637 0.273  0.11


Entry 3:
A crystal of SrLaCd2Tc relaxed with PBEsol, computed with SCAN.

## Properties
symmetry: No. 123
magnetic moment: 0.0 Bohr magnetons per cell
raw total energy: -161.40 eV per cell

Unit cell a=4.903 b=5.411 c=5.411 alpha=90.00 beta=90.00 gamma=90.00
Sites, in units of the cell vectors:
Sr 0.500 0.500 0.500
Cd 0.000 0.000 0.500
Cd 0.000 0.500 0.000
Tc 0.000 0.000 0.000
La 0.500 0.000 0.000


Entry 4:
A crystal of SrLaCdW2 relaxed with PBEsol, computed with SCAN.

## Properties
symmetry: No. 123
magnetic moment: 4.6 Bohr magnetons per cell
raw total energy: -225.30 eV per cell

Unit cell a=5.071 b=5.071 c=5.558 alpha=90.00 beta=90.00 gamma=90.00
Site moments in Bohr magnetons follow the coordinates.
Sites, in units of the cell vectors:
Sr 0.500 0.500 0.500  -0.01
Cd 0.000 0.000 0.000  -0.06
W 0.000 0.500 0.000  -1.68
W 0.500 0.000 0.000  -1.68
La 0.000 0.000 0.500  0.05


Entry 5:
A crystal of LaTaCd relaxed with PBEsol, computed with SCAN.

## Properties
symmetry: No. 216
distance to the lowest polymorph of the same formula: 0.877 eV/atom
magnetic moment: 2.3 Bohr magnetons per cell
raw total energy: -136.09 eV per cell

Unit cell a=4.950 b=4.950 c=4.950 alpha=60.00 beta=60.00 gamma=60.00
Site moments in Bohr magnetons follow the coordinates.
Sites, in units of the cell vectors:
Cd 0.500 0.500 0.500  -0.03
La 0.250 0.250 0.250  0.30
Ta 0.000 0.000 0.000  1.40


Entry 6:
A crystal of LaTaCd2 relaxed with PBEsol, computed with SCAN.

## Properties
symmetry: No. 71
distance to the lowest polymorph of the same formula: 0.158 eV/atom
magnetic moment: 0.0 Bohr magnetons per cell
raw total energy: -169.49 eV per cell

Unit cell a=3.212 b=5.006 c=6.298 alpha=113.42 beta=104.77 gamma=90.00
Sites, in units of the cell vectors:
Cd 0.724 0.724 0.448
Cd 0.276 0.276 0.552
La 0.500 0.000 0.000
Ta 0.000 0.500 0.000


Entry 7:
A crystal of La2TaCd relaxed with PBEsol, computed with SCAN.

## Properties
symmetry: No. 99
magnetic moment: 0.0 Bohr magnetons per cell
raw total energy: -182.22 eV per cell

Unit cell a=3.107 b=3.107 c=10.357 alpha=90.00 beta=90.00 gamma=90.00
Sites, in units of the cell vectors:
Cd 0.500 0.500 0.721
La 0.000 0.000 0.964
La 0.500 0.500 0.291
Ta 0.000 0.000 0.524


Entry 8:
A crystal of LaTa2Cd relaxed with PBEsol, computed with SCAN.

## Properties
symmetry: No. 123
magnetic moment: 0.0 Bohr magnetons per cell
raw total energy: -204.68 eV per cell

Unit cell a=2.886 b=2.886 c=9.895 alpha=90.00 beta=90.00 gamma=90.00
Sites, in units of the cell vectors:
Cd 0.500 0.500 0.000
La 0.500 0.500 0.500
Ta 0.000 0.000 0.772
Ta 0.000 0.000 0.228


Entry 9:
A crystal of LaTaCd2 relaxed with PBEsol, computed with SCAN.

## Properties
symmetry: No. 225
distance to the lowest polymorph of the same formula: 0.253 eV/atom
magnetic moment: 0.0 Bohr magnetons per cell
raw total energy: -169.11 eV per cell

Unit cell a=5.069 b=5.069 c=5.069 alpha=60.00 beta=60.00 gamma=60.00
Sites, in units of the cell vectors:
Cd 0.250 0.250 0.250
Cd 0.750 0.750 0.750
La 0.000 0.000 0.000
Ta 0.500 0.500 0.500


Entry 10:
A crystal of LaTaCd2 relaxed with PBEsol, computed with SCAN.

## Properties
symmetry: No. 119
distance to the lowest polymorph of the same formula: 0.326 eV/atom
magnetic moment: 0.0 Bohr magnetons per cell
raw total energy: -168.82 eV per cell

Unit cell a=4.427 b=4.427 c=5.589 alpha=113.33 beta=113.33 gamma=90.00
Sites, in units of the cell vectors:
Cd 0.000 0.000 0.000
Cd 0.750 0.250 0.500
La 0.500 0.500 0.000
Ta 0.250 0.750 0.500


Entry 11:
A crystal of La2TaCd relaxed with PBEsol, computed with SCAN.

## Properties
symmetry: No. 160
magnetic moment: 0.0 Bohr magnetons per cell
raw total energy: -181.59 eV per cell

Unit cell a=3.217 b=3.217 c=11.337 alpha=81.84 beta=81.84 gamma=60.00
Sites, in units of the cell vectors:
Cd 0.241 0.241 0.276
La 0.993 0.993 0.022
La 0.761 0.761 0.716
Ta 0.505 0.505 0.486


Entry 12:
A crystal of LaTaCd2 relaxed with PBEsol, computed with SCAN.

## Properties
symmetry: No. 123
distance to the lowest polymorph of the same formula: 0.000 eV/atom
magnetic moment: 0.0 Bohr magnetons per cell
raw total energy: -170.12 eV per cell

Unit cell a=3.031 b=3.031 c=9.355 alpha=90.00 beta=90.00 gamma=90.00
Sites, in units of the cell vectors:
Cd 0.000 0.000 0.721
Cd 0.000 0.000 0.279
La 0.500 0.500 0.000
Ta 0.500 0.500 0.500


Calculated formation energy per entry: -0.17 -0.23 -0.03 1.97 1.34 0.26 0.25 0.50 0.35 0.42 0.40 0.10 eV per atom
V per entry: 38.61 34.58 28.71 28.58 28.58 22.31 25.00 20.60 23.02 22.68 25.05 21.48 Å³/atom